[1]
Below is an optimized crystal structure of TaTe, with properties calculated at the PBE level.

It has space group Amm2 (No. 38), with a = 3.613 Å, b = 12.345 Å, c = 6.469 Å, α = 90.00°, β = 90.00° and γ = 90.00°. Symmetry generates all atoms from Ta at (0.000, 0.000, 0.000), Ta at (0.500, 0.181, 0.958), Te at (0.000, 0.164, 0.300) and Te at (0.500, 0.000, 0.675).

The value obtained for the electronic total energy is -7.521 eV per atom. The value obtained for the uncorrected formation energy is -0.02 eV per atom. The magnetization is 0.0 μB per cell.

[2]
Below is an optimized crystal structure of TaTe, with properties calculated at the PBE level.

It has space group Cmmm (No. 65), with a = 3.444 Å, b = 5.468 Å, c = 4.565 Å, α = 90.00°, β = 90.00° and γ = 90.00°. Symmetry generates all atoms from Ta at (0.000, 0.000, 0.000) and Te at (0.000, 0.500, 0.500).

The value obtained for the electronic total energy is -6.890 eV per atom. The value obtained for the uncorrected formation energy is 0.61 eV per atom. The magnetization is 0.0 μB per cell.

[3]
Below is an optimized crystal structure of TaTe, with properties calculated at the PBE level.

It has space group Pm-3n (No. 223), with a = 7.736 Å, b = 7.736 Å, c = 7.736 Å, α = 90.00°, β = 90.00° and γ = 90.00°. Symmetry generates all atoms from Ta at (0.000, 0.250, 0.500) and Te at (0.000, 0.500, 0.250).

The value obtained for the electronic total energy is -6.417 eV per atom. The value obtained for the uncorrected formation energy is 1.08 eV per atom. The magnetization is 10.2 μB per cell.

What is the magnetization in the third record? 10.2 μB per cell

Number 3 is which compound? TaTe

Which formula does entry 2 have? TaTe